Record 1
{
  "formula": "InGaPdAu",
  "functional": "PBE-GGA",
  "state": "relaxed",
  "lattice_angstrom": [[0.0000, 3.2945, 3.2945], [3.2945, 0.0000, 3.2945], [3.2945, 3.2945, 0.0000]],
  "species": ["In", "Ga", "Pd", "Au"],
  "fractional_positions": [[0.0000, 0.0000, 0.0000], [0.5000, 0.5000, 0.5000], [0.7500, 0.7500, 0.7500], [0.2500, 0.2500, 0.2500]],
  "spacegroup": "F-43m, No. 216",
  "formation_energy_kj_per_mol_atoms": -24.5
}

***

Record 2
{
  "formula": "Pm2InGa3Au4",
  "functional": "PBE-GGA",
  "state": "relaxed",
  "lattice_angstrom": [[4.3943, 0.0000, 0.0000], [0.0000, 4.3943, 0.0000], [0.0000, 0.0000, 11.1005]],
  "species": ["Pm", "Pm", "In", "Ga", "Ga", "Ga", "Au", "Au", "Au", "Au"],
  "fractional_positions": [[0.0000, 0.5000, 0.2369], [0.5000, 0.0000, 0.7631], [0.0000, 0.0000, 0.5000], [0.0000, 0.5000, 0.8718], [0.5000, 0.0000, 0.1282], [0.5000, 0.5000, 0.5000], [0.0000, 0.0000, 0.0000], [0.0000, 0.5000, 0.6476], [0.5000, 0.0000, 0.3524], [0.5000, 0.5000, 0.0000]],
  "spacegroup": "P-4m2, No. 115",
  "formation_energy_kj_per_mol_atoms": -58.5
}

***

Record 3
{
  "formula": "Pm2InGa4Au3",
  "functional": "PBE-GGA",
  "state": "relaxed",
  "lattice_angstrom": [[4.3611, 0.0000, 0.0000], [0.0000, 4.3611, 0.0000], [0.0000, 0.0000, 11.1014]],
  "species": ["Pm", "Pm", "In", "Ga", "Ga", "Ga", "Ga", "Au", "Au", "Au"],
  "fractional_positions": [[0.0000, 0.5000, 0.2437], [0.5000, 0.0000, 0.7563], [0.0000, 0.0000, 0.5000], [0.0000, 0.0000, 0.0000], [0.0000, 0.5000, 0.6469], [0.5000, 0.0000, 0.3531], [0.5000, 0.5000, 0.0000], [0.0000, 0.5000, 0.8709], [0.5000, 0.0000, 0.1291], [0.5000, 0.5000, 0.5000]],
  "spacegroup": "P-4m2, No. 115",
  "formation_energy_kj_per_mol_atoms": -57.8
}

***

Record 4
{
  "formula": "PmInGa2Au5",
  "functional": "PBE-GGA",
  "state": "relaxed",
  "lattice_angstrom": [[4.4632, 0.0000, 0.0000], [0.0000, 4.4632, 0.0000], [0.0000, 0.0000, 9.0096]],
  "species": ["Pm", "In", "Ga", "Ga", "Au", "Au", "Au", "Au", "Au"],
  "fractional_positions": [[0.0000, 0.0000, 0.0000], [0.0000, 0.0000, 0.5000], [0.5000, 0.5000, 0.1348], [0.5000, 0.5000, 0.8652], [0.0000, 0.5000, 0.2788], [0.0000, 0.5000, 0.7212], [0.5000, 0.0000, 0.2788], [0.5000, 0.0000, 0.7212], [0.5000, 0.5000, 0.5000]],
  "spacegroup": "P4/mmm, No. 123",
  "formation_energy_kj_per_mol_atoms": -40.3
}

***

Record 5
{
  "formula": "Pr2InGaAu6",
  "functional": "PBE-GGA",
  "state": "relaxed",
  "lattice_angstrom": [[5.5325, 0.0000, 0.0000], [1.2089, 6.3959, 0.0000], [2.6971, 1.7581, 6.3548]],
  "species": ["Pr", "Pr", "In", "Ga", "Au", "Au", "Au", "Au", "Au", "Au"],
  "fractional_positions": [[0.0325, 0.3287, 0.2972], [0.9675, 0.6713, 0.7028], [0.5000, 0.0000, 0.5000], [0.5000, 0.0000, 0.0000], [0.0203, 0.1372, 0.7620], [0.3497, 0.6908, 0.9125], [0.4887, 0.3558, 0.6966], [0.5113, 0.6442, 0.3034], [0.6503, 0.3092, 0.0875], [0.9797, 0.8628, 0.2380]],
  "spacegroup": "P-1, No. 2",
  "formation_energy_kj_per_mol_atoms": -47.1
}

***

Record 6
{
  "formula": "Pr2InGa3Au4",
  "functional": "PBE-GGA",
  "state": "relaxed",
  "lattice_angstrom": [[4.4966, 0.0000, 0.0000], [0.0000, 4.4966, 0.0000], [0.0000, 0.0000, 10.8010]],
  "species": ["Pr", "Pr", "In", "Ga", "Ga", "Ga", "Au", "Au", "Au", "Au"],
  "fractional_positions": [[0.0000, 0.5000, 0.2385], [0.5000, 0.0000, 0.7615], [0.0000, 0.0000, 0.5000], [0.0000, 0.5000, 0.8737], [0.5000, 0.0000, 0.1263], [0.5000, 0.5000, 0.5000], [0.0000, 0.0000, 0.0000], [0.0000, 0.5000, 0.6431], [0.5000, 0.0000, 0.3569], [0.5000, 0.5000, 0.0000]],
  "spacegroup": "P-4m2, No. 115",
  "formation_energy_kj_per_mol_atoms": -60.1
}

***

Record 7
{
  "formula": "Pr3InGa2Au6",
  "functional": "PBE-GGA",
  "state": "relaxed",
  "lattice_angstrom": [[6.2113, 0.0000, 0.0000], [-3.1056, 5.3791, 0.0000], [0.0000, 0.0000, 8.6527]],
  "species": ["Pr", "Pr", "Pr", "In", "Ga", "Ga", "Au", "Au", "Au", "Au", "Au", "Au"],
  "fractional_positions": [[0.0000, 0.0000, 0.0000], [0.3333, 0.6667, 0.6313], [0.6667, 0.3333, 0.3687], [0.0000, 0.0000, 0.5000], [0.3333, 0.6667, 0.0125], [0.6667, 0.3333, 0.9875], [0.1805, 0.3611, 0.2695], [0.1805, 0.8195, 0.2695], [0.3611, 0.1805, 0.7305], [0.6389, 0.8195, 0.2695], [0.8195, 0.1805, 0.7305], [0.8195, 0.6389, 0.7305]],
  "spacegroup": "P-3m1, No. 164",
  "formation_energy_kj_per_mol_atoms": -47.1
}

***

Record 8
{
  "formula": "PrInGa2Au5",
  "functional": "PBE-GGA",
  "state": "relaxed",
  "lattice_angstrom": [[5.0123, 0.0000, 0.0000], [0.0000, 5.0123, 0.0000], [0.0000, 0.0000, 7.6772]],
  "species": ["Pr", "In", "Ga", "Ga", "Au", "Au", "Au", "Au", "Au"],
  "fractional_positions": [[0.0000, 0.0000, 0.0000], [0.0000, 0.0000, 0.5000], [0.5000, 0.5000, 0.3407], [0.5000, 0.5000, 0.6593], [0.0000, 0.5000, 0.2464], [0.0000, 0.5000, 0.7536], [0.5000, 0.0000, 0.2464], [0.5000, 0.0000, 0.7536], [0.5000, 0.5000, 0.0000]],
  "spacegroup": "P4/mmm, No. 123",
  "formation_energy_kj_per_mol_atoms": -32.1
}

***

| no. | magnetic moment (Bohr magnetons per cell) |
| --- | --- |
| 1 | 0.00 |
| 2 | 0.00 |
| 3 | 0.00 |
| 4 | 0.00 |
| 5 | 0.00 |
| 6 | 0.00 |
| 7 | 0.00 |
| 8 | 0.00 |